AlSiAg: relaxed, PBE-GGA.

The calculation puts the total moment at 0.000 μB/atom. As for the volume: 107.01 Å³/cell. The calculated total energy comes out at -23.1 eV/cell. The value obtained for the uncorrected formation energy is 0.5 eV/f.u.

Cell and atoms, written as POSCAR:
```
AlSiAg
1.0
4.233 0.000 0.000
-1.015 4.914 0.000
-1.205 -1.001 5.144
Al Si Ag
2 2 2
Direct
0.015 0.416 0.237
0.985 0.584 0.763
0.479 0.785 0.580
0.521 0.215 0.420
0.288 0.172 0.892
0.712 0.828 0.108
```